No. 1
Crystalline KZnHg2 at its relaxed geometry. Source: Alexandria, functional PBE.

The value obtained for the formation energy is -0.059 eV/atom. The total energy is -0.059 Ry per atom.

a b c (Å): 5.882 5.882 5.882
angles (deg): 136.33 121.78 75.52
Sites, in units of the cell vectors:
K: 0.000 0.000 0.000
Zn: 0.500 0.500 0.000
Hg: 0.290 0.790 0.500
Hg: 0.710 0.210 0.500

***

No. 2
Crystalline NaThAsS at its relaxed geometry. Source: Alexandria, functional PBE.

The total energy is -0.419 Ry per atom. Its formation energy without anion corrections is -1.328 eV per atom.

a b c (Å): 7.233 7.233 7.233
angles (deg): 34.39 34.39 34.39
Sites, in units of the cell vectors:
Na: 0.000 0.000 0.000
Th: 0.496 0.496 0.496
As: 0.754 0.754 0.754
S: 0.237 0.237 0.237

***

No. 3
Crystalline TaMnMo at its relaxed geometry. Source: Alexandria, functional PBE.

The value obtained for the formation energy is 0.042 eV/atom. The total energy is -0.777 Ry per atom. Its distance to the lowest polymorph of the same formula is 0.066 eV/atom.

a b c (Å): 6.751 6.565 2.752
angles (deg): 81.90 74.30 23.80
Sites, in units of the cell vectors:
Ta: 0.000 0.000 0.000
Mn: 0.337 0.337 0.663
Mo: 0.682 0.682 0.318

***

No. 4
Crystalline Al2VSiRu at its relaxed geometry. Source: Alexandria, functional PBE.

The total energy is -0.414 Ry per atom. Its formation energy without anion corrections is 0.632 eV per atom.

a b c (Å): 4.671 4.671 4.541
angles (deg): 90.00 90.00 90.00
Sites, in units of the cell vectors:
Al: 0.000 0.500 0.000
Al: 0.500 0.000 0.000
V: 0.000 0.000 0.500
Si: 0.500 0.500 0.500
Ru: 0.000 0.000 0.000

***

No. 5
Crystalline Sc3Si2Rh at its relaxed geometry. Source: Alexandria, functional PBE.

The total energy is -0.517 Ry per atom. Its formation energy without anion corrections is -0.838 eV per atom.

a b c (Å): 10.805 4.205 9.676
angles (deg): 90.00 90.00 90.00
Sites, in units of the cell vectors:
Sc: 0.047 0.250 0.136
Sc: 0.151 0.750 0.589
Sc: 0.226 0.250 0.814
Sc: 0.274 0.750 0.314
Sc: 0.349 0.250 0.089
Sc: 0.453 0.750 0.636
Sc: 0.547 0.250 0.364
Sc: 0.651 0.750 0.911
Sc: 0.726 0.250 0.686
Sc: 0.774 0.750 0.186
Sc: 0.849 0.250 0.411
Sc: 0.953 0.750 0.864
Si: 0.005 0.750 0.339
Si: 0.179 0.750 0.016
Si: 0.321 0.250 0.516
Si: 0.495 0.250 0.839
Si: 0.505 0.750 0.161
Si: 0.679 0.750 0.484
Si: 0.821 0.250 0.984
Si: 0.995 0.250 0.661
Rh: 0.119 0.250 0.398
Rh: 0.381 0.750 0.898
Rh: 0.619 0.250 0.102
Rh: 0.881 0.750 0.602

***

No. 6
Crystalline TaCoB2Sb at its relaxed geometry. Source: Alexandria, functional PBE.

The total energy is -0.357 Ry per atom. Its formation energy without anion corrections is 2.433 eV per atom.

a b c (Å): 4.249 4.249 5.420
angles (deg): 90.00 90.00 90.00
Sites, in units of the cell vectors:
Ta: 0.000 0.000 0.000
Co: 0.500 0.500 0.000
B: 0.000 0.500 0.500
B: 0.500 0.000 0.500
Sb: 0.000 0.000 0.500

***

No. 7
Crystalline Al2FeTc at its relaxed geometry. Source: Alexandria, functional PBE.

The value obtained for the formation energy is -0.199 eV/atom. The total energy is -0.498 Ry per atom. Its distance to the lowest polymorph of the same formula is 0.106 eV/atom.

a b c (Å): 2.679 2.679 7.936
angles (deg): 90.00 90.00 106.79
Sites, in units of the cell vectors:
Al: 0.000 0.000 0.237
Al: 0.000 0.000 0.763
Fe: 0.500 0.500 0.000
Tc: 0.500 0.500 0.500

***

No. 8
Crystalline Rb3LiPa2Se6 at its relaxed geometry. Source: Alexandria, functional PBE.

The total energy is -0.373 Ry per atom. Its formation energy without anion corrections is -1.353 eV per atom.

a b c (Å): 7.426 7.426 8.337
angles (deg): 98.47 98.47 120.04
Sites, in units of the cell vectors:
Rb: 0.000 0.000 0.000
Rb: 0.339 0.661 0.000
Rb: 0.661 0.339 0.000
Li: 0.500 0.500 0.500
Pa: 0.167 0.833 0.500
Pa: 0.833 0.167 0.500
Se: 0.088 0.435 0.304
Se: 0.219 0.219 0.693
Se: 0.435 0.088 0.304
Se: 0.565 0.912 0.696
Se: 0.781 0.781 0.307
Se: 0.912 0.565 0.696

***

D(E_F) per entry: 1.57 0.00 2.41 5.49 3.09 6.54 2.55 11.74 states/eV/f.u.